! CaGe2I (SCAN, PBEsol geometry); values from VASP
&SYSTEM
  ibrav = 0, nat = 4, ntyp = 3
/
ATOMIC_SPECIES
Ca 40.08 Ca.upf
I 126.90 I.upf
Ge 72.64 Ge.upf
CELL_PARAMETERS angstrom
5.219 0.000 0.000
2.610 4.520 0.000
2.610 1.507 4.261
ATOMIC_POSITIONS crystal
Ca 0.000 0.000 0.000
I 0.500 0.500 0.500
Ge 0.750 0.750 0.750
Ge 0.250 0.250 0.250
! - Size of the total moment: 0.00 μB/cell
! - Calculated density: 5.16 g/cm³
! - Calculated volume: 25.13 Å³ per atom
! - ΔE_f (raw): 1.3 eV per formula unit
! - Crystal system: cubic
! - Total DFT energy (no corrections): -20.8258 eV/atom